(1)
Sm2SnS4: optimized geometry, PBE.

Cell lengths 8.2300, 7.6255, 7.6255 Å; angles 126.91, 90.00, 90.00 degrees
Last column: nearest neighbours and their distance in Å.
Element x y z (fractional)
Sm 0.2500 0.8551 0.4829  6 S 2.71-3.00
Sn 0.7500 0.8104 0.4745  3 S 2.59-2.65
S 0.5215 0.5754 0.1778  1 Sn 2.65, 2 Sm 2.83-2.90
S 0.2500 0.5040 0.4895  1 Sn 2.59, 3 Sm 2.71-2.76
Sm 0.7500 0.4829 0.8551  6 S 2.71-3.00
S 0.0215 0.1778 0.5754  1 Sn 2.65, 2 Sm 2.83-2.90
Sm 0.0000 0.2271 0.2271  6 S 2.76-2.90
S 0.4785 0.1778 0.5754  1 Sn 2.65, 2 Sm 2.83-2.90
Sm 0.5000 0.2271 0.2271  6 S 2.76-2.90
S 0.7500 0.9213 0.0430  3 Sm 2.73-2.78
S 0.9785 0.5754 0.1778  1 Sn 2.65, 2 Sm 2.83-2.90
S 0.2500 0.0430 0.9213  3 Sm 2.73-2.78
Sn 0.2500 0.4745 0.8104  3 S 2.59-2.65
S 0.7500 0.4895 0.5040  1 Sn 2.59, 3 Sm 2.71-2.76

Results
* space group: No. 40

***

(2)
Sr2SmS3: optimized geometry, PBE.

Cell lengths 4.1426, 4.1426, 10.3347 Å; angles 90.00, 90.00, 120.00 degrees
Last column: nearest neighbours and their distance in Å.
Element x y z (fractional)
S 0.6667 0.3333 0.3455  3 Sm 2.88, 3 Sr 3.00
Sm 0.0000 0.0000 0.5000  6 S 2.88
Sr 0.3333 0.6667 0.1709  6 S 2.97-3.00
S 0.0000 0.0000 0.0000  6 Sr 2.97
S 0.3333 0.6667 0.6545  3 Sm 2.88, 3 Sr 3.00
Sr 0.6667 0.3333 0.8291  6 S 2.97-3.00

Results
* space group: No. 164

***

(3)
Tb2SmS3: optimized geometry, PBE.

Cell lengths 3.9455, 3.9455, 9.6934 Å; angles 90.00, 90.00, 120.00 degrees
Last column: nearest neighbours and their distance in Å.
Element x y z (fractional)
S 0.0000 0.0000 0.0000  6 Tb 2.78
Tb 0.3333 0.6667 0.1652  6 S 2.77-2.78
Tb 0.6667 0.3333 0.8348  6 S 2.77-2.78
Sm 0.0000 0.0000 0.5000  6 S 2.83
S 0.3333 0.6667 0.6729  3 Tb 2.77, 3 Sm 2.83
S 0.6667 0.3333 0.3271  3 Tb 2.77, 3 Sm 2.83

Results
* space group: No. 164

***

(4)
TbSmTlS3: optimized geometry, PBE.

Cell lengths 7.2440, 7.2440, 11.0802 Å; angles 90.00, 90.00, 143.92 degrees
Last column: nearest neighbours and their distance in Å.
Element x y z (fractional)
S 0.1274 0.8726 0.0410  1 Tb 2.61, 2 Sm 2.88
S 0.5590 0.4410 0.7500  2 Tb 2.63, 2 Sm 2.89
Tl 0.7606 0.2394 0.2500  8 S 3.35-3.71
S 0.8726 0.1274 0.9590  1 Tb 2.61, 2 Sm 2.88
S 0.4410 0.5590 0.2500  2 Tb 2.63, 2 Sm 2.89
S 0.8726 0.1274 0.5410  1 Tb 2.61, 2 Sm 2.88
Tb 0.0401 0.9599 0.2500  4 S 2.61-2.63
Sm 0.5000 0.5000 0.5000  6 S 2.88-2.89
Tl 0.2394 0.7606 0.7500  8 S 3.35-3.71
Tb 0.9599 0.0401 0.7500  4 S 2.61-2.63
S 0.1274 0.8726 0.4590  1 Tb 2.61, 2 Sm 2.88
Sm 0.5000 0.5000 0.0000  6 S 2.88-2.89

Results
* space group: No. 63

***

(5)
Sm6Te5S: optimized geometry, PBE.

Cell lengths 7.5968, 7.5968, 7.5590 Å; angles 99.54, 99.54, 119.78 degrees
Last column: nearest neighbours and their distance in Å.
Element x y z (fractional)
Sm 0.0721 0.3675 0.2224  1 S 2.75
Te 0.6638 0.3362 0.0000  6 Sm 3.13-3.15
Sm 0.6325 0.9279 0.7776  1 S 2.75
Sm 0.2145 0.2145 0.7668  1 S 2.77
Te 0.8218 0.1782 0.5000  6 Sm 3.11-3.35
Te 0.1782 0.8218 0.5000  6 Sm 3.11-3.35
Sm 0.3675 0.0721 0.2224  1 S 2.75
Sm 0.9279 0.6325 0.7776  1 S 2.75
Sm 0.7855 0.7855 0.2332  1 S 2.77
S 0.0000 0.0000 0.0000  6 Sm 2.75-2.77
Te 0.3362 0.6638 0.0000  6 Sm 3.13-3.15
Te 0.5000 0.5000 0.5000  6 Sm 3.13-3.42

Results
* space group: No. 12

***

(6)
Sm3TeS2: optimized geometry, PBE.

Cell lengths 4.1342, 4.1342, 10.2456 Å; angles 90.00, 90.00, 120.00 degrees
Last column: nearest neighbours and their distance in Å.
Element x y z (fractional)
Sm 0.3333 0.6667 0.2023  3 S 2.81
S 0.6667 0.3333 0.3469  6 Sm 2.81-2.86
Sm 0.6667 0.3333 0.7977  3 S 2.81
S 0.3333 0.6667 0.6531  6 Sm 2.81-2.86
Sm 0.0000 0.0000 0.5000  6 S 2.86
Te 0.0000 0.0000 0.0000  6 Sm 3.16

Results
* space group: No. 164

***

(7)
Sm2ThS5: optimized geometry, PBE.

Cell lengths 12.0004, 8.1606, 7.5248 Å; angles 90.00, 90.00, 90.00 degrees
Last column: nearest neighbours and their distance in Å.
Element x y z (fractional)
S 0.0003 0.2500 0.5379  1 Th 2.89, 4 Sm 2.96-3.00
S 0.7184 0.7500 0.2955  1 Th 2.89, 4 Sm 2.90-2.97
S 0.4997 0.7500 0.0379  1 Th 2.89, 4 Sm 2.96-3.00
S 0.8968 0.4558 0.1603  2 Th 2.72-2.80, 2 Sm 2.83-2.86
S 0.5003 0.2500 0.9621  1 Th 2.89, 4 Sm 2.96-3.00
S 0.8145 0.7500 0.8246  1 Th 2.85, 4 Sm 2.96-3.11
S 0.3145 0.7500 0.6754  1 Th 2.85, 4 Sm 2.96-3.11
Th 0.5089 0.2500 0.5787  7 S 2.72-2.89
S 0.1032 0.9558 0.8397  2 Th 2.72-2.80, 2 Sm 2.83-2.86
S 0.1855 0.2500 0.1754  1 Th 2.85, 4 Sm 2.96-3.11
Sm 0.1793 0.9984 0.4862  8 S 2.83-3.11
Sm 0.3207 0.4984 0.9862  8 S 2.83-3.11
S 0.2184 0.7500 0.2045  1 Th 2.89, 4 Sm 2.90-2.97
Sm 0.3207 0.0016 0.9862  8 S 2.83-3.11
Sm 0.8207 0.0016 0.5138  8 S 2.83-3.11
Th 0.9911 0.7500 0.0787  7 S 2.72-2.89
S 0.3968 0.4558 0.3397  2 Th 2.72-2.80, 2 Sm 2.83-2.86
S 0.3968 0.0442 0.3397  2 Th 2.72-2.80, 2 Sm 2.83-2.86
Sm 0.6793 0.9984 0.0138  8 S 2.83-3.11
S 0.6032 0.5442 0.6603  2 Th 2.72-2.80, 2 Sm 2.83-2.86
S 0.1032 0.5442 0.8397  2 Th 2.72-2.80, 2 Sm 2.83-2.86
S 0.2816 0.2500 0.7045  1 Th 2.89, 4 Sm 2.90-2.97
Th 0.4911 0.7500 0.4213  7 S 2.72-2.89
S 0.7816 0.2500 0.7955  1 Th 2.89, 4 Sm 2.90-2.97
S 0.6032 0.9558 0.6603  2 Th 2.72-2.80, 2 Sm 2.83-2.86
S 0.8968 0.0442 0.1603  2 Th 2.72-2.80, 2 Sm 2.83-2.86
S 0.9997 0.7500 0.4621  1 Th 2.89, 4 Sm 2.96-3.00
Sm 0.1793 0.5016 0.4862  8 S 2.83-3.11
Th 0.0089 0.2500 0.9213  7 S 2.72-2.89
Sm 0.8207 0.4984 0.5138  8 S 2.83-3.11
Sm 0.6793 0.5016 0.0138  8 S 2.83-3.11
S 0.6855 0.2500 0.3246  1 Th 2.85, 4 Sm 2.96-3.11

Results
* space group: No. 62

***

(8)
Sm2Tl2S3: optimized geometry, PBE.

Cell lengths 8.5770, 8.5770, 6.7381 Å; angles 108.17, 108.17, 56.46 degrees
Last column: nearest neighbours and their distance in Å.
Element x y z (fractional)
S 0.8545 0.5930 0.2586  3 Sm 2.71-2.80
S 0.5930 0.8545 0.7586  3 Sm 2.71-2.80
Tl 0.1867 0.9979 0.4795  3 S 3.13-3.30, 2 Tl 3.28-3.35
S 0.4441 0.5559 0.2500  4 Sm 2.80-2.84
S 0.1455 0.4070 0.7414  3 Sm 2.71-2.80
S 0.4070 0.1455 0.2414  3 Sm 2.71-2.80
Sm 0.2262 0.5100 0.4459  5 S 2.71-2.84
Sm 0.7738 0.4900 0.5541  5 S 2.71-2.84
Tl 0.0021 0.8133 0.0205  3 S 3.13-3.30, 2 Tl 3.28-3.35
Tl 0.9979 0.1867 0.9795  3 S 3.13-3.30, 2 Tl 3.28-3.35
Sm 0.5100 0.2262 0.9459  5 S 2.71-2.84
Sm 0.4900 0.7738 0.0541  5 S 2.71-2.84
S 0.5559 0.4441 0.7500  4 Sm 2.80-2.84
Tl 0.8133 0.0021 0.5205  3 S 3.13-3.30, 2 Tl 3.28-3.35

Results
* space group: No. 15

***

(9)
SmTmTlS3: optimized geometry, PBE.

Cell lengths 7.3424, 7.3424, 11.1507 Å; angles 90.00, 90.00, 145.39 degrees
Last column: nearest neighbours and their distance in Å.
Element x y z (fractional)
Tm 0.4600 0.5400 0.7500  4 S 2.55-2.58
S 0.6273 0.3727 0.4507  1 Tm 2.55
Tl 0.2572 0.7428 0.2500  8 S 3.38-3.71, 2 Tm 3.75
S 0.6273 0.3727 0.0493  1 Tm 2.55
S 0.9417 0.0583 0.2500  2 Tm 2.58
Sm 0.0000 0.0000 0.0000  6 S 2.87-2.91
S 0.3727 0.6273 0.9507  1 Tm 2.55
Tm 0.5400 0.4600 0.2500  4 S 2.55-2.58
S 0.0583 0.9417 0.7500  2 Tm 2.58
S 0.3727 0.6273 0.5493  1 Tm 2.55
Sm 0.0000 0.0000 0.5000  6 S 2.87-2.91
Tl 0.7428 0.2572 0.7500  8 S 3.38-3.71, 2 Tm 3.75

Results
* space group: No. 63

***

(10)
SmTm2S3: optimized geometry, PBE.

Cell lengths 3.8770, 3.8770, 9.6148 Å; angles 90.00, 90.00, 120.00 degrees
Last column: nearest neighbours and their distance in Å.
Element x y z (fractional)
S 0.6667 0.3333 0.3199  3 Tm 2.70, 3 Sm 2.83
Tm 0.6667 0.3333 0.8363  6 S 2.70-2.74
S 0.0000 0.0000 0.0000  6 Tm 2.74
S 0.3333 0.6667 0.6801  3 Tm 2.70, 3 Sm 2.83
Sm 0.0000 0.0000 0.5000  6 S 2.83
Tm 0.3333 0.6667 0.1637  6 S 2.70-2.74

Results
* space group: No. 164

***

(11)
Sm2TmS3: optimized geometry, PBE.

Cell lengths 3.9330, 3.9330, 9.7519 Å; angles 90.00, 90.00, 120.00 degrees
Last column: nearest neighbours and their distance in Å.
Element x y z (fractional)
Tm 0.0000 0.0000 0.0000  6 S 2.72
S 0.3333 0.6667 0.1540  3 Tm 2.72, 3 Sm 2.85
Sm 0.3333 0.6667 0.6695  6 S 2.81-2.85
S 0.6667 0.3333 0.8460  3 Tm 2.72, 3 Sm 2.85
S 0.0000 0.0000 0.5000  6 Sm 2.81
Sm 0.6667 0.3333 0.3305  6 S 2.81-2.85

Results
* space group: No. 164

***

(12)
SmTmS2: optimized geometry, PBE.

Cell lengths 3.9246, 3.9246, 5.5515 Å; angles 90.00, 90.00, 90.00 degrees
Last column: nearest neighbours and their distance in Å.
Element x y z (fractional)
S 0.0000 0.0000 0.0000  4 Tm 2.78, 2 Sm 2.78
Tm 0.5000 0.5000 0.0000  6 S 2.78
Sm 0.0000 0.0000 0.5000  6 S 2.78
S 0.5000 0.5000 0.5000  4 Sm 2.78, 2 Tm 2.78

Results
* space group: No. 123

***

Final energy, record by record: -5.760, -5.490, -6.409, -5.379, -5.518, -6.056, -6.726, -5.002, -5.368, -6.305, -6.377, -6.313 eV/atom